Sm3Ge2Ir3: optimized geometry, PBE.

Unit cell a=4.209 b=10.392 c=15.317 alpha=90.00 beta=90.00 gamma=90.00
Space group Cmcm (No. 63)
Symmetry-distinct sites (fractional):
Sm 0.000 0.071 0.108 x8
Sm 0.000 0.359 0.250 x4
Ge 0.000 0.220 0.602 x8
Ir 0.000 0.340 0.750 x4
Ir 0.000 0.362 0.035 x8



SmGeIr: optimized geometry, PBE.

Unit cell a=7.124 b=4.434 c=7.558 alpha=90.00 beta=90.00 gamma=90.00
Space group Pnma (No. 62)
Symmetry-distinct sites (fractional):
Sm 0.013 0.250 0.199 x4
Ge 0.183 0.250 0.586 x4
Ir 0.199 0.750 0.412 x4



SmGeIr: optimized geometry, PBE.

Unit cell a=4.3402 b=4.3402 c=3.8503 alpha=90.00 beta=90.00 gamma=120.00
Space group P-6m2 (No. 187)
Symmetry-distinct sites (fractional):
Sm 0.0000 0.0000 0.0000 x1
Ge 0.3333 0.6667 0.5000 x1
Ir 0.6667 0.3333 0.5000 x1



SmGe3Ir3: optimized geometry, PBE.

Unit cell a=6.754 b=6.754 c=6.754 alpha=90.00 beta=90.00 gamma=90.00
Space group Pm-3n (No. 223)
Symmetry-distinct sites (fractional):
Sm 0.000 0.000 0.000 x2
Ge 0.000 0.250 0.500 x6
Ir 0.000 0.500 0.250 x6



Sm5GeIr2: optimized geometry, PBE.

Unit cell a=7.851 b=7.851 c=13.378 alpha=90.00 beta=90.00 gamma=90.00
Space group I4/mcm (No. 140)
Symmetry-distinct sites (fractional):
Sm 0.000 0.000 0.000 x4
Sm 0.163 0.337 0.139 x16
Ge 0.000 0.000 0.250 x4
Ir 0.136 0.364 0.500 x8



SmGe4Ir: optimized geometry, PBE.

Unit cell a=6.341 b=6.447 c=6.863 alpha=84.65 beta=89.97 gamma=60.61
Space group P-1 (No. 2)
Symmetry-distinct sites (fractional):
Sm 0.100 0.498 0.251 x2
Ge 0.126 0.009 0.142 x2
Ge 0.319 0.593 0.587 x2
Ge 0.364 0.012 0.642 x2
Ge 0.409 0.409 0.914 x2
Ir 0.000 0.000 0.500 x1
Ir 0.500 0.000 0.000 x1



Sm3Ge4Ir2: optimized geometry, PBE.

Unit cell a=11.063 b=4.328 c=8.328 alpha=90.00 beta=109.05 gamma=90.00
Space group C2/m (No. 12)
Symmetry-distinct sites (fractional):
Sm 0.000 0.000 0.000 x2
Sm 0.122 0.500 0.698 x4
Ge 0.092 0.000 0.397 x4
Ge 0.210 0.500 0.076 x4
Ir 0.191 0.500 0.368 x4



SmGe2Ir: optimized geometry, PBE.

Unit cell a=3.1560 b=3.1560 c=29.2727 alpha=90.00 beta=90.00 gamma=120.00
Space group R-3m (No. 166, hexagonal axes)
Symmetry-distinct sites (fractional):
Sm 0.0000 0.0000 0.0000 x3
Ge 0.0000 0.0000 0.1030 x6
Ir 0.0000 0.0000 0.5000 x3



| no. | formation enthalpy at 0 K (kcal/mol of atoms) |
| --- | --- |
| 1 | -17.7 |
| 2 | -19.8 |
| 3 | -17.9 |
| 4 | -2.7 |
| 5 | -15.4 |
| 6 | -9.3 |
| 7 | -19.1 |
| 8 | 2.2 |